(1)
First-principles (PBE) data for an optimized crystal structure of Tl2PtBrCl5, as listed in Alexandria via LeMat-Bulk.

Properties
Its density is 5.5 g cm⁻³. The calculation puts the total magnetization at 0.000 μB per cell. The total DFT energy (no corrections) is -3.1510 eV/atom.

Cell: 7.1502 7.1502 7.1502 Å, 120.14 120.14 89.77°
With the nearest neighbours (Å) after each atom.
Atoms (fractional coordinates):
Tl1 0.0000 0.5000 0.5000  10 Cl 3.56-3.60, 2 Br 3.57
Tl2 0.5000 0.0000 0.5000  10 Cl 3.56-3.60, 2 Br 3.57
Pt1 0.2464 0.2464 0.0000  5 Cl 2.35-2.36, 1 Br 2.48
Br1 0.4913 0.4913 0.0000  1 Pt 2.48
Cl1 0.0135 0.0135 0.0000  1 Pt 2.36
Cl2 0.0141 0.0141 0.5348  1 Pt 2.35
Cl3 0.0141 0.4793 0.0000  1 Pt 2.35
Cl4 0.4793 0.0141 0.0000  1 Pt 2.35
Cl5 0.4793 0.4793 0.4652  1 Pt 2.35

---

(2)
First-principles (PBE) data for an optimized crystal structure of Tl2PtBr4Cl2, as listed in Alexandria via LeMat-Bulk.

Properties
Its density is 5.9 g cm⁻³. The calculation puts the total magnetization at 0.000 μB per cell. The total DFT energy (no corrections) is -2.9914 eV/atom.

Cell: 7.2403 7.2403 7.5262 Å, 120.83 120.83 61.15°
With the nearest neighbours (Å) after each atom.
Atoms (fractional coordinates):
Tl1 0.2500 0.2500 0.2300  3 Cl 3.32-3.69, 6 Br 3.55-3.70
Tl2 0.7500 0.7500 0.7700  3 Cl 3.32-3.69, 6 Br 3.55-3.70
Pt1 0.0000 0.0000 0.5000  2 Cl 2.35, 4 Br 2.50
Br1 0.2162 0.7372 0.7108  1 Pt 2.50
Br2 0.2628 0.7838 0.2892  1 Pt 2.50
Br3 0.7372 0.2162 0.7108  1 Pt 2.50
Br4 0.7838 0.2628 0.2892  1 Pt 2.50
Cl1 0.2324 0.2324 0.7720  1 Pt 2.35
Cl2 0.7676 0.7676 0.2280  1 Pt 2.35

---

(3)
First-principles (PBE) data for an optimized crystal structure of VPtBr2Cl, as listed in Alexandria via LeMat-Bulk.

Properties
Its density is 5.6 g cm⁻³. The calculation puts the total magnetization at 2.883 μB per cell. The total DFT energy (no corrections) is -3.7388 eV/atom.

Cell: 5.0156 5.0156 5.2315 Å, 90.00 90.00 90.00°
With the nearest neighbours (Å) after each atom.
Atoms (fractional coordinates):
V1 0.0000 0.0000 0.0000  2 Pt 2.62
Pt1 0.0000 0.0000 0.5000  4 Br 2.51, 2 V 2.62
Br1 0.0000 0.5000 0.5000  2 Pt 2.51
Br2 0.5000 0.0000 0.5000  2 Pt 2.51
Cl1 0.5000 0.5000 0.0000  4 V 3.55, 8 Br 3.62

---

(4)
First-principles (PBE) data for an optimized crystal structure of PuBr2Cl3, as listed in Alexandria via LeMat-Bulk.

Properties
Its density is 3.1 g cm⁻³. The calculation puts the total magnetization at 3.000 μB per cell. The total DFT energy (no corrections) is -5.0948 eV/atom.

Cell: 8.0754 8.0754 8.0754 Å, 141.39 123.15 70.84°
With the nearest neighbours (Å) after each atom.
Atoms (fractional coordinates):
Pu1 0.0000 0.0000 0.0000  4 Cl 2.47-2.67, 2 Br 2.65
Br1 0.0979 0.8566 0.2413  1 Pu 2.65
Br2 0.6154 0.8566 0.7587  1 Pu 2.65
Cl1 0.3604 0.1316 0.2288  1 Pu 2.47
Cl2 0.9028 0.1316 0.7712  1 Pu 2.47
Cl3 0.9983 0.4983 0.5000  2 Pu 2.67

---

(5)
First-principles (PBE) data for an optimized crystal structure of Pu3Br3Cl5, as listed in Alexandria via LeMat-Bulk.

Properties
Its density is 5.0 g cm⁻³. The calculation puts the total magnetization at 16.000 μB per cell. The total DFT energy (no corrections) is -6.9460 eV/atom.

Cell: 8.7723 8.7723 5.7434 Å, 90.00 90.00 120.00°
With the nearest neighbours (Å) after each atom.
Atoms (fractional coordinates):
Pu1 0.0000 0.3584 0.0000  4 Cl 2.80-2.82, 2 Br 2.88
Pu2 0.3584 0.0000 0.0000  4 Cl 2.80-2.82, 2 Br 2.88
Pu3 0.6416 0.6416 0.0000  4 Cl 2.80-2.82, 2 Br 2.88
Br1 0.0000 0.3786 0.5000  2 Pu 2.88
Br2 0.3786 0.0000 0.5000  2 Pu 2.88
Br3 0.6214 0.6214 0.5000  2 Pu 2.88
Cl1 0.0000 0.7450 0.0000  2 Pu 2.80
Cl2 0.2550 0.2550 0.0000  2 Pu 2.80
Cl3 0.3333 0.6667 0.0000  3 Pu 2.82
Cl4 0.6667 0.3333 0.0000  3 Pu 2.82
Cl5 0.7450 0.0000 0.0000  2 Pu 2.80

---

(6)
First-principles (PBE) data for an optimized crystal structure of Pu2Br2Cl, as listed in Alexandria via LeMat-Bulk.

Properties
Its density is 7.0 g cm⁻³. The calculation puts the total magnetization at 25.811 μB per cell. The total DFT energy (no corrections) is -7.8188 eV/atom.

Cell: 10.4401 8.9464 6.9477 Å, 81.06 57.84 41.10°
With the nearest neighbours (Å) after each atom.
Atoms (fractional coordinates):
Pu1 0.0000 0.0000 0.0000  2 Cl 2.72
Pu2 0.0000 0.0000 0.5000  2 Cl 2.72
Pu3 0.0000 0.5000 0.0000  2 Cl 2.72
Pu4 0.5000 0.0000 0.0000  2 Cl 2.72
Br1 0.1944 0.5556 0.1944  4 Pu 3.21-3.29, 2 Br 3.55
Br2 0.4444 0.8056 0.4444  4 Pu 3.21-3.29, 2 Br 3.55
Br3 0.5556 0.1944 0.5556  4 Pu 3.21-3.29, 2 Br 3.55
Br4 0.8056 0.4444 0.8056  4 Pu 3.21-3.29, 2 Br 3.55
Cl1 0.1250 0.1250 0.1250  4 Pu 2.72
Cl2 0.8750 0.8750 0.8750  4 Pu 2.72

---

(7)
First-principles (PBE) data for an optimized crystal structure of PuBr2Cl, as listed in Alexandria via LeMat-Bulk.

Properties
Its density is 4.2 g cm⁻³. The calculation puts the total magnetization at 5.000 μB per cell. The total DFT energy (no corrections) is -6.5238 eV/atom. The excess energy over the best structure of this formula in the dataset comes out at 0 meV per atom.

Cell: 4.2709 5.4065 7.8670 Å, 88.88 74.30 90.00°
With the nearest neighbours (Å) after each atom.
Atoms (fractional coordinates):
Pu1 0.0000 0.0000 0.0000  2 Cl 2.70, 4 Br 2.88
Br1 0.3728 0.9927 0.2550  2 Pu 2.88
Br2 0.6269 0.0072 0.7450  2 Pu 2.88
Cl1 0.9979 0.5000 0.0000  2 Pu 2.70

---

(8)
First-principles (PBE) data for an optimized crystal structure of Pu2Br2Cl3, as listed in Alexandria via LeMat-Bulk.

Properties
Its density is 6.6 g cm⁻³. The calculation puts the total magnetization at 11.000 μB per cell. The total DFT energy (no corrections) is -7.1067 eV/atom.

Cell: 6.5543 6.5543 8.0732 Å, 110.86 110.86 36.42°
With the nearest neighbours (Å) after each atom.
Atoms (fractional coordinates):
Pu1 0.1740 0.1740 0.2179  5 Cl 2.86-3.02, 3 Br 2.99-3.20
Pu2 0.8260 0.8260 0.7821  5 Cl 2.86-3.02, 3 Br 2.99-3.20
Br1 0.1596 0.1596 0.8138  3 Pu 2.99-3.20
Br2 0.8404 0.8404 0.1862  3 Pu 2.99-3.20
Cl1 0.3663 0.3663 0.5655  3 Pu 2.86-2.93
Cl2 0.5000 0.5000 0.0000  4 Pu 3.02, 2 Cl 3.27
Cl3 0.6337 0.6337 0.4345  3 Pu 2.86-2.93

---

(9)
First-principles (PBE) data for an optimized crystal structure of Pu3Br2Cl4, as listed in Alexandria via LeMat-Bulk.

Properties
Its density is 5.8 g cm⁻³. The calculation puts the total magnetization at 18.000 μB per cell. The total DFT energy (no corrections) is -7.5937 eV/atom.

Cell: 3.9491 3.9491 21.8740 Å, 90.00 90.00 120.00°
With the nearest neighbours (Å) after each atom.
Atoms (fractional coordinates):
Pu1 0.0000 0.0000 0.0000  6 Br 2.97
Pu2 0.0000 0.0000 0.3503  6 Cl 2.85
Pu3 0.6667 0.3333 0.6679  6 Cl 2.84-2.85
Br1 0.6667 0.3333 0.0870  3 Pu 2.97
Br2 0.6667 0.3333 0.9130  3 Pu 2.97
Cl1 0.0000 0.0000 0.5901  3 Pu 2.85
Cl2 0.0000 0.0000 0.7457  3 Pu 2.84
Cl3 0.6667 0.3333 0.2725  3 Pu 2.85
Cl4 0.6667 0.3333 0.4281  3 Pu 2.85

---

(10)
First-principles (PBE) data for an optimized crystal structure of PuBr5Cl, as listed in Alexandria via LeMat-Bulk.

Properties
Its density is 3.7 g cm⁻³. The calculation puts the total magnetization at 3.429 μB per cell. The total DFT energy (no corrections) is -4.4268 eV/atom.

Cell: 8.0875 8.0875 8.0875 Å, 141.60 84.72 107.96°
With the nearest neighbours (Å) after each atom.
Atoms (fractional coordinates):
Pu1 0.0000 0.0000 0.0000  3 Br 2.65-2.68, 2 Cl 2.70
Br1 0.2176 0.9963 0.2213  1 Pu 2.65
Br2 0.2816 0.2816 0.0000  1 Pu 2.68
Br3 0.7141 0.4656 0.7515  2 Br 2.64-2.68
Br4 0.7141 0.9625 0.2485  2 Br 2.64-2.68
Br5 0.7750 0.9963 0.7787  1 Pu 2.65
Cl1 0.0481 0.5481 0.5000  2 Pu 2.70